Material: Ba8Li13GaSb12
Method: DFT, PBE
State: optimized geometry

Summary:
As for the volume: 28.24 Å³ per atom.

Lattice parameters (Å, degrees): 18.301 4.978 21.240 90.00 97.02 90.00
Space group Cm (No. 8)
Unique sites:
Ba 0.000 0.000 0.000 (multiplicity 2)
Ba 0.000 0.500 0.497 (multiplicity 2)
Ba 0.268 0.500 0.916 (multiplicity 2)
Ba 0.271 0.000 0.410 (multiplicity 2)
Ba 0.316 0.500 0.128 (multiplicity 2)
Ba 0.320 0.000 0.625 (multiplicity 2)
Ba 0.455 0.000 0.283 (multiplicity 2)
Ba 0.456 0.500 0.787 (multiplicity 2)
Li 0.000 0.500 0.114 (multiplicity 2)
Li 0.073 0.000 0.406 (multiplicity 2)
Li 0.075 0.500 0.911 (multiplicity 2)
Li 0.126 0.000 0.282 (multiplicity 2)
Li 0.127 0.500 0.786 (multiplicity 2)
Li 0.132 0.000 0.712 (multiplicity 2)
Li 0.135 0.500 0.200 (multiplicity 2)
Li 0.145 0.000 0.129 (multiplicity 2)
Li 0.194 0.000 0.002 (multiplicity 2)
Li 0.200 0.500 0.502 (multiplicity 2)
Li 0.266 0.500 0.296 (multiplicity 2)
Li 0.268 0.000 0.797 (multiplicity 2)
Li 0.496 0.500 0.614 (multiplicity 2)
Ga 0.146 0.500 0.629 (multiplicity 2)
Sb 0.010 0.000 0.182 (multiplicity 2)
Sb 0.014 0.500 0.681 (multiplicity 2)
Sb 0.134 0.500 0.369 (multiplicity 2)
Sb 0.135 0.000 0.861 (multiplicity 2)
Sb 0.136 0.500 0.047 (multiplicity 2)
Sb 0.137 0.000 0.555 (multiplicity 2)
Sb 0.261 0.000 0.230 (multiplicity 2)
Sb 0.261 0.500 0.725 (multiplicity 2)
Sb 0.361 0.000 0.017 (multiplicity 2)
Sb 0.363 0.500 0.518 (multiplicity 2)
Sb 0.406 0.000 0.892 (multiplicity 2)
Sb 0.409 0.500 0.393 (multiplicity 2)

Material: ZrSbMo2
Method: DFT, PBE
State: optimized geometry

Summary:
As for the volume: 19.19 Å³ per atom.

Lattice parameters (Å, degrees): 3.474 5.006 8.829 90.00 90.00 90.00
Space group Cmm2 (No. 35)
Unique sites:
Zr 0.000 0.000 0.000 (multiplicity 2)
Sb 0.000 0.500 0.723 (multiplicity 2)
Mo 0.000 0.000 0.470 (multiplicity 2)
Mo 0.000 0.500 0.250 (multiplicity 2)

Ordered ΔE_f (raw) results: -0.828, 0.145; unit eV per atom.